Version i
An optimized crystal structure of CsAs3Os. Source: Alexandria, functional GGA-PBE.

calculated volume = 126.5 Å³/cell
SG = Pm-3m

Cell: 5.020 5.020 5.020 Å, 90.00 90.00 90.00°
Fractional coordinates of all 5 atoms:
Cs 0.000 0.000 0.000
As 0.000 0.500 0.500
As 0.500 0.000 0.500
As 0.500 0.500 0.000
Os 0.500 0.500 0.500

Version ii
An optimized crystal structure of CsAs3Os. Source: Alexandria, functional GGA-PBE.

calculated volume = 172.4 Å³/cell
SG = Pm-3m

Cell: 5.565 5.565 5.565 Å, 90.00 90.00 90.00°
Fractional coordinates of all 5 atoms:
Cs 0.000 0.000 0.000
As 0.000 0.000 0.500
As 0.000 0.500 0.000
As 0.500 0.000 0.000
Os 0.500 0.500 0.500

The relative energies come out as version i 0.000; version ii 2.458, with values in eV/atom.

Version i
An optimized crystal structure of CsAs3P. Source: Alexandria, functional GGA-PBE.

calculated volume = 131.0 Å³/cell
SG = Pm-3m

Cell: 5.079 5.079 5.079 Å, 90.00 90.00 90.00°
Fractional coordinates of all 5 atoms:
Cs 0.000 0.000 0.000
As 0.000 0.500 0.500
As 0.500 0.000 0.500
As 0.500 0.500 0.000
P 0.500 0.500 0.500

Version ii
An optimized crystal structure of CsAs3P. Source: Alexandria, functional GGA-PBE.

calculated volume = 352.9 Å³/cell
SG = P-1

Cell: 6.485 6.808 8.706 Å, 111.62 93.92 96.11°
Fractional coordinates of all 10 atoms:
Cs 0.209 0.008 0.240
Cs 0.791 0.992 0.760
As 0.010 0.579 0.395
As 0.365 0.380 0.885
As 0.481 0.574 0.359
As 0.519 0.426 0.641
As 0.635 0.620 0.115
As 0.990 0.421 0.605
P 0.279 0.642 0.783
P 0.721 0.358 0.217

Version iii
An optimized crystal structure of CsAs3P. Source: Alexandria, functional GGA-PBE.

calculated volume = 204.4 Å³/cell
SG = Pm-3m

Cell: 5.891 5.891 5.891 Å, 90.00 90.00 90.00°
Fractional coordinates of all 5 atoms:
Cs 0.000 0.000 0.000
As 0.000 0.000 0.500
As 0.000 0.500 0.000
As 0.500 0.000 0.000
P 0.500 0.500 0.500

Version iv
An optimized crystal structure of CsAs3P. Source: Alexandria, functional GGA-PBE.

calculated volume = 710.4 Å³/cell
SG = P2_1/c

Cell: 6.016 8.741 13.519 Å, 90.00 92.13 90.00°
Fractional coordinates of all 20 atoms:
Cs 0.196 0.204 0.294
Cs 0.196 0.296 0.794
Cs 0.804 0.704 0.206
Cs 0.804 0.796 0.706
As 0.033 0.114 0.550
As 0.033 0.386 0.050
As 0.232 0.016 0.041
As 0.232 0.484 0.541
As 0.317 0.731 0.008
As 0.317 0.769 0.508
As 0.683 0.231 0.492
As 0.683 0.269 0.992
As 0.768 0.516 0.459
As 0.768 0.984 0.959
As 0.967 0.614 0.950
As 0.967 0.886 0.450
P 0.361 0.578 0.391
P 0.361 0.922 0.891
P 0.639 0.078 0.109
P 0.639 0.422 0.609

The relative energies come out as version i 0.582; version ii 0.000; version iii 2.376; version iv 0.018, with values in eV/atom.

Version i
An optimized crystal structure of Cs2As2P. Source: Alexandria, functional GGA-PBE.

calculated volume = 195.4 Å³/cell
SG = I4/mmm

Cell: 6.331 6.331 6.331 Å, 109.31 109.31 109.79°
Fractional coordinates of all 5 atoms:
Cs 0.250 0.750 0.500
Cs 0.750 0.250 0.500
As 0.182 0.182 0.000
As 0.818 0.818 0.000
P 0.500 0.500 0.000

Version ii
An optimized crystal structure of Cs2As2P. Source: Alexandria, functional GGA-PBE.

calculated volume = 303.8 Å³/cell
SG = P4/mbm

Cell: 7.138 7.138 5.962 Å, 90.00 90.00 90.00°
Fractional coordinates of all 10 atoms:
Cs 0.184 0.316 0.000
Cs 0.316 0.816 0.000
Cs 0.684 0.184 0.000
Cs 0.816 0.684 0.000
As 0.124 0.624 0.500
As 0.376 0.124 0.500
As 0.624 0.876 0.500
As 0.876 0.376 0.500
P 0.000 0.000 0.500
P 0.500 0.500 0.500

The relative energies come out as version i 0.000; version ii 0.062, with values in eV/atom.

Version i
An optimized crystal structure of Cs2AsP. Source: Alexandria, functional GGA-PBE.

calculated volume = 443.7 Å³/cell
SG = I-42d

Cell: 9.922 9.922 9.922 Å, 93.33 93.33 152.09°
Fractional coordinates of all 8 atoms:
Cs 0.375 0.078 0.203
Cs 0.828 0.625 0.703
Cs 0.875 0.172 0.797
Cs 0.922 0.125 0.297
As 0.250 0.750 0.500
As 0.500 0.500 0.000
P 0.000 0.000 0.000
P 0.750 0.250 0.500

Version ii
An optimized crystal structure of Cs2AsP. Source: Alexandria, functional GGA-PBE.

calculated volume = 155.4 Å³/cell
SG = Imm2

Cell: 6.644 6.644 6.644 Å, 142.19 74.96 118.00°
Fractional coordinates of all 4 atoms:
Cs 0.186 0.000 0.186
Cs 0.814 0.000 0.814
As 0.487 0.487 0.000
P 0.319 0.819 0.500

The relative energies come out as version i 0.166; version ii 0.000, with values in eV/atom.

Version i
An optimized crystal structure of Cs3AsP. Source: Alexandria, functional GGA-PBE.

calculated volume = 444.5 Å³/cell
SG = Cmc2_1

Cell: 8.215 8.215 6.640 Å, 90.00 90.00 97.25°
Fractional coordinates of all 10 atoms:
Cs 0.098 0.902 0.500
Cs 0.193 0.445 0.323
Cs 0.445 0.193 0.823
Cs 0.555 0.807 0.323
Cs 0.807 0.555 0.823
Cs 0.902 0.098 0.000
As 0.341 0.659 0.823
As 0.659 0.341 0.323
P 0.186 0.814 0.014
P 0.814 0.186 0.514

Version ii
An optimized crystal structure of Cs3AsP. Source: Alexandria, functional GGA-PBE.

calculated volume = 923.3 Å³/cell
SG = P2_1/c

Cell: 10.484 6.857 13.579 Å, 90.00 108.93 90.00°
Fractional coordinates of all 20 atoms:
Cs 0.042 0.087 0.359
Cs 0.042 0.413 0.859
Cs 0.276 0.591 0.432
Cs 0.276 0.909 0.932
Cs 0.388 0.112 0.670
Cs 0.388 0.388 0.170
Cs 0.612 0.612 0.830
Cs 0.612 0.888 0.330
Cs 0.724 0.091 0.068
Cs 0.724 0.409 0.568
Cs 0.958 0.587 0.141
Cs 0.958 0.913 0.641
As 0.243 0.601 0.680
As 0.243 0.899 0.180
As 0.757 0.101 0.820
As 0.757 0.399 0.320
P 0.059 0.082 0.074
P 0.059 0.418 0.574
P 0.941 0.582 0.426
P 0.941 0.918 0.926

The relative energies come out as version i 0.054; version ii 0.000, with values in eV/atom.

Version i
An optimized crystal structure of CsAs2P2. Source: Alexandria, functional GGA-PBE.

calculated volume = 162.4 Å³/cell
SG = C2/m

Cell: 6.248 6.248 4.679 Å, 102.92 102.92 106.54°
Fractional coordinates of all 5 atoms:
Cs 0.000 0.000 0.000
As 0.328 0.672 0.500
As 0.672 0.328 0.500
P 0.405 0.405 0.743
P 0.595 0.595 0.257

Version ii
An optimized crystal structure of CsAs2P2. Source: Alexandria, functional GGA-PBE.

calculated volume = 296.6 Å³/cell
SG = P-1

Cell: 7.014 7.182 7.587 Å, 77.11 62.74 60.83°
Fractional coordinates of all 10 atoms:
Cs 0.125 0.250 0.250
Cs 0.875 0.750 0.750
As 0.236 0.028 0.750
As 0.487 0.527 0.250
As 0.513 0.473 0.750
As 0.764 0.972 0.250
P 0.257 0.751 0.986
P 0.493 0.751 0.515
P 0.507 0.249 0.485
P 0.743 0.249 0.014

The relative energies come out as version i 0.000; version ii 0.083, with values in eV/atom.